Entry 1:
Material: Li5Pm3Br12
Method: DFT, PBE
State: relaxed

a b c (Å): 14.1233 14.1233 14.1233
angles (deg): 109.47 109.47 109.47
Last column: nearest neighbours and their distance in Å.
Fractional positions:
Li (0.0000, 0.0000, 0.0000)  6 Br 2.73
Li (0.0000, 0.0000, 0.5000)  6 Br 2.73
Li (0.0000, 0.5000, 0.0000)  6 Br 2.73
Li (0.0000, 0.5000, 0.5000)  6 Br 2.73
Li (0.1250, 0.7500, 0.8750)  4 Br 2.46
Li (0.1250, 0.8750, 0.2500)  4 Br 2.46
Li (0.2500, 0.1250, 0.8750)  4 Br 2.46
Li (0.2500, 0.6250, 0.3750)  4 Br 2.46
Li (0.3750, 0.2500, 0.6250)  4 Br 2.46
Li (0.3750, 0.6250, 0.7500)  4 Br 2.46
Li (0.5000, 0.0000, 0.0000)  6 Br 2.73
Li (0.5000, 0.0000, 0.5000)  6 Br 2.73
Li (0.5000, 0.5000, 0.0000)  6 Br 2.73
Li (0.5000, 0.5000, 0.5000)  6 Br 2.73
Li (0.6250, 0.3750, 0.2500)  4 Br 2.46
Li (0.6250, 0.7500, 0.3750)  4 Br 2.46
Li (0.7500, 0.3750, 0.6250)  4 Br 2.46
Li (0.7500, 0.8750, 0.1250)  4 Br 2.46
Li (0.8750, 0.1250, 0.7500)  4 Br 2.46
Li (0.8750, 0.2500, 0.1250)  4 Br 2.46
Pm (0.1250, 0.2500, 0.3750)  8 Br 3.12-3.13
Pm (0.1250, 0.3750, 0.7500)  8 Br 3.12-3.13
Pm (0.2500, 0.3750, 0.1250)  8 Br 3.12-3.13
Pm (0.2500, 0.8750, 0.6250)  8 Br 3.12-3.13
Pm (0.3750, 0.1250, 0.2500)  8 Br 3.12-3.13
Pm (0.3750, 0.7500, 0.1250)  8 Br 3.12-3.13
Pm (0.6250, 0.2500, 0.8750)  8 Br 3.12-3.13
Pm (0.6250, 0.8750, 0.7500)  8 Br 3.12-3.13
Pm (0.7500, 0.1250, 0.3750)  8 Br 3.12-3.13
Pm (0.7500, 0.6250, 0.8750)  8 Br 3.12-3.13
Pm (0.8750, 0.6250, 0.2500)  8 Br 3.12-3.13
Pm (0.8750, 0.7500, 0.6250)  8 Br 3.12-3.13
Br (0.0348, 0.2154, 0.1247)  2 Li 2.46-2.73
Br (0.0348, 0.3193, 0.9101)  2 Li 2.46-2.73
Br (0.0899, 0.6247, 0.4093)  2 Li 2.46-2.73
Br (0.0899, 0.9652, 0.6807)  2 Li 2.46-2.73
Br (0.0907, 0.7154, 0.6807)  2 Li 2.46-2.73
Br (0.0907, 0.8753, 0.4101)  2 Li 2.46-2.73
Br (0.1247, 0.0348, 0.2154)  2 Li 2.46-2.73
Br (0.1247, 0.5899, 0.9093)  2 Li 2.46-2.73
Br (0.1807, 0.2154, 0.5907)  2 Li 2.46-2.73
Br (0.1807, 0.4652, 0.5899)  2 Li 2.46-2.73
Br (0.2154, 0.1247, 0.0348)  2 Li 2.46-2.73
Br (0.2154, 0.5907, 0.1807)  2 Li 2.46-2.73
Br (0.2846, 0.3193, 0.9093)  2 Li 2.46-2.73
Br (0.2846, 0.4652, 0.3753)  2 Li 2.46-2.73
Br (0.3193, 0.9093, 0.2846)  2 Li 2.46-2.73
Br (0.3193, 0.9101, 0.0348)  2 Li 2.46-2.73
Br (0.3753, 0.2846, 0.4652)  2 Li 2.46-2.73
Br (0.3753, 0.5907, 0.9101)  2 Li 2.46-2.73
Br (0.4093, 0.0899, 0.6247)  2 Li 2.46-2.73
Br (0.4093, 0.8193, 0.7846)  2 Li 2.46-2.73
Br (0.4101, 0.0907, 0.8753)  2 Li 2.46-2.73
Br (0.4101, 0.8193, 0.5348)  2 Li 2.46-2.73
Br (0.4652, 0.3753, 0.2846)  2 Li 2.46-2.73
Br (0.4652, 0.5899, 0.1807)  2 Li 2.46-2.73
Br (0.5348, 0.4101, 0.8193)  2 Li 2.46-2.73
Br (0.5348, 0.6247, 0.7154)  2 Li 2.46-2.73
Br (0.5899, 0.1807, 0.4652)  2 Li 2.46-2.73
Br (0.5899, 0.9093, 0.1247)  2 Li 2.46-2.73
Br (0.5907, 0.1807, 0.2154)  2 Li 2.46-2.73
Br (0.5907, 0.9101, 0.3753)  2 Li 2.46-2.73
Br (0.6247, 0.4093, 0.0899)  2 Li 2.46-2.73
Br (0.6247, 0.7154, 0.5348)  2 Li 2.46-2.73
Br (0.6807, 0.0899, 0.9652)  2 Li 2.46-2.73
Br (0.6807, 0.0907, 0.7154)  2 Li 2.46-2.73
Br (0.7154, 0.5348, 0.6247)  2 Li 2.46-2.73
Br (0.7154, 0.6807, 0.0907)  2 Li 2.46-2.73
Br (0.7846, 0.4093, 0.8193)  2 Li 2.46-2.73
Br (0.7846, 0.8753, 0.9652)  2 Li 2.46-2.73
Br (0.8193, 0.5348, 0.4101)  2 Li 2.46-2.73
Br (0.8193, 0.7846, 0.4093)  2 Li 2.46-2.73
Br (0.8753, 0.4101, 0.0907)  2 Li 2.46-2.73
Br (0.8753, 0.9652, 0.7846)  2 Li 2.46-2.73
Br (0.9093, 0.1247, 0.5899)  2 Li 2.46-2.73
Br (0.9093, 0.2846, 0.3193)  2 Li 2.46-2.73
Br (0.9101, 0.0348, 0.3193)  2 Li 2.46-2.73
Br (0.9101, 0.3753, 0.5907)  2 Li 2.46-2.73
Br (0.9652, 0.6807, 0.0899)  2 Li 2.46-2.73
Br (0.9652, 0.7846, 0.8753)  2 Li 2.46-2.73

Total moment   1.637 μB/f.u.
VASP energy   -3.7523 eV per atom
ΔE_f (raw)   -1558 meV/atom
SG   No. 230

---

Entry 2:
Material: Li2PmBr6
Method: DFT, PBE
State: relaxed

a b c (Å): 7.2071 7.2071 10.0879
angles (deg): 104.62 104.62 35.95
Last column: nearest neighbours and their distance in Å.
Fractional positions:
Li (0.2111, 0.2111, 0.1618)  4 Br 2.53-2.71
Li (0.7889, 0.7889, 0.8382)  4 Br 2.53-2.71
Pm (0.0000, 0.0000, 0.5000)  6 Br 2.80-2.96
Br (0.0472, 0.0472, 0.2463)  1 Li 2.61, 1 Pm 2.80
Br (0.3323, 0.3323, 0.9595)  2 Li 2.53
Br (0.3561, 0.3561, 0.4044)  1 Li 2.71, 2 Pm 2.96
Br (0.6439, 0.6439, 0.5956)  1 Li 2.71, 2 Pm 2.96
Br (0.6677, 0.6677, 0.0405)  2 Li 2.53
Br (0.9528, 0.9528, 0.7537)  1 Li 2.61, 1 Pm 2.80

Total moment   1.073 μB/f.u.
VASP energy   -3.4384 eV per atom
ΔE_f (raw)   -1370 meV/atom
SG   No. 12

---

Entry 3:
Material: LiPm2Br8
Method: DFT, PBE
State: relaxed

a b c (Å): 8.6009 8.6009 5.6610
angles (deg): 90.16 90.16 64.62
Last column: nearest neighbours and their distance in Å.
Fractional positions:
Li (0.0000, 0.0000, 0.0000)  4 Br 2.64
Pm (0.3063, 0.3063, 0.9990)  8 Br 2.90-3.16
Pm (0.6937, 0.6937, 0.0010)  8 Br 2.90-3.16
Br (0.0536, 0.6745, 0.0031)  1 Li 2.64
Br (0.2630, 0.2630, 0.4986)  2 Pm 2.90
Br (0.3255, 0.9464, 0.9969)  1 Li 2.64
Br (0.5002, 0.5002, 0.2517)  2 Br 2.81-2.85
Br (0.4998, 0.4998, 0.7483)  2 Br 2.81-2.85
Br (0.6745, 0.0536, 0.0031)  1 Li 2.64
Br (0.7370, 0.7370, 0.5014)  2 Pm 2.90
Br (0.9464, 0.3255, 0.9969)  1 Li 2.64

Total moment   0.000 μB/f.u.
VASP energy   -3.8441 eV per atom
ΔE_f (raw)   -1590 meV/atom
SG   No. 12

---

Entry 4:
Material: RbLi4Pm3Br12
Method: DFT, PBE
State: relaxed

a b c (Å): 9.6637 9.6637 9.6637
angles (deg): 108.88 108.88 108.88
Last column: nearest neighbours and their distance in Å.
Fractional positions:
Rb (0.0000, 0.0000, 0.0000)  6 Br 3.70
Li (0.0867, 0.5000, 0.9133)  3 Br 2.48-2.54
Li (0.5000, 0.5000, 0.5000)  3 Br 2.42
Li (0.5000, 0.9133, 0.0867)  3 Br 2.48-2.54
Li (0.9133, 0.0867, 0.5000)  3 Br 2.48-2.54
Pm (0.0000, 0.5791, 0.4209)  6 Br 2.92-2.95
Pm (0.4209, 0.0000, 0.5791)  6 Br 2.92-2.95
Pm (0.5791, 0.4209, 0.0000)  6 Br 2.92-2.95
Br (0.0672, 0.6641, 0.7630)  1 Li 2.48
Br (0.0746, 0.9254, 0.5000)  1 Li 2.54
Br (0.2370, 0.3359, 0.9328)  1 Li 2.48
Br (0.3359, 0.9328, 0.2370)  1 Li 2.48
Br (0.3460, 0.6540, 0.5000)  1 Li 2.42
Br (0.5000, 0.0746, 0.9254)  1 Li 2.54
Br (0.5000, 0.3460, 0.6540)  1 Li 2.42
Br (0.6540, 0.5000, 0.3460)  1 Li 2.42
Br (0.6641, 0.7630, 0.0672)  1 Li 2.48
Br (0.7630, 0.0672, 0.6641)  1 Li 2.48
Br (0.9254, 0.5000, 0.0746)  1 Li 2.54
Br (0.9328, 0.2370, 0.3359)  1 Li 2.48

Total moment   2.013 μB/f.u.
VASP energy   -3.7270 eV per atom
ΔE_f (raw)   -1579 meV/atom
SG   No. 155

---

Entry 5:
Material: RbLi2PmBr6
Method: DFT, PBE
State: relaxed

a b c (Å): 7.9869 7.9869 7.9869
angles (deg): 55.07 55.07 55.07
Last column: nearest neighbours and their distance in Å.
Fractional positions:
Rb (0.0000, 0.0000, 0.0000)  6 Br 3.34-3.57
Li (0.2148, 0.2148, 0.2148)  6 Br 2.69-2.99
Li (0.7251, 0.7251, 0.7251)  6 Br 2.77-2.98
Pm (0.5260, 0.5260, 0.5260)  6 Br 2.89-2.91
Br (0.1090, 0.4675, 0.8107)  2 Li 2.77-2.99, 1 Pm 2.89
Br (0.3960, 0.9500, 0.5231)  2 Li 2.69-2.98, 1 Pm 2.91
Br (0.4675, 0.8107, 0.1090)  2 Li 2.77-2.99, 1 Pm 2.89
Br (0.5231, 0.3960, 0.9500)  2 Li 2.69-2.98, 1 Pm 2.91
Br (0.8107, 0.1090, 0.4675)  2 Li 2.77-2.99, 1 Pm 2.89
Br (0.9500, 0.5231, 0.3960)  2 Li 2.69-2.98, 1 Pm 2.91

Total moment   0.000 μB/f.u.
VASP energy   -3.6514 eV per atom
ΔE_f (raw)   -1693 meV/atom
SG   No. 146

---

Entry 6:
Material: LiPmSBr
Method: DFT, PBE
State: relaxed

a b c (Å): 14.5196 14.5196 14.5196
angles (deg): 15.79 15.79 15.79
Last column: nearest neighbours and their distance in Å.
Fractional positions:
Li (0.1870, 0.1870, 0.1870)  4 S 2.43-2.52
Li (0.8130, 0.8130, 0.8130)  4 S 2.43-2.52
Pm (0.4214, 0.4214, 0.4214)  3 S 2.89, 3 Br 2.98
Pm (0.5786, 0.5786, 0.5786)  3 S 2.89, 3 Br 2.98
S (0.1285, 0.1285, 0.1285)  4 Li 2.43-2.52
S (0.8715, 0.8715, 0.8715)  4 Li 2.43-2.52
Br (0.2891, 0.2891, 0.2891)  3 Pm 2.98
Br (0.7109, 0.7109, 0.7109)  3 Pm 2.98

Total moment   0.000 μB/f.u.
VASP energy   -4.7083 eV per atom
ΔE_f (raw)   -1592 meV/atom
SG   No. 166

---

Question: Which value of total moment does entry 4 give?
Answer: 2.013 μB/f.u.